[1]
# BaLiCdB2, optimized geometry, DFT GGA-PBE
data_BaLiCdB2
_chemical_formula_sum 'Ba1 Li1 Cd1 B2'
_cell_length_a 4.638
_cell_length_b 4.638
_cell_length_c 4.697
_cell_angle_alpha 90.00
_cell_angle_beta 90.00
_cell_angle_gamma 90.00
_space_group_name_H-M_alt 'P 4/m m m'
_space_group_IT_number 123
_space_group_name_Hall '-P 4 2'
loop_
_atom_site_label
_atom_site_type_symbol
_atom_site_fract_x
_atom_site_fract_y
_atom_site_fract_z
_atom_site_occupancy
Ba1 Ba 0.000 0.000 0.000 1
Li1 Li 0.500 0.500 0.500 1
Cd1 Cd 0.500 0.500 0.000 1
B1 B 0.000 0.500 0.500 1
# - formation energy from the elements (eV/atom) = 1.08
# - calculated volume (Å³ per atom) = 20.20
# - total magnetic moment (μB/cell) = 0.0
# - ρ (Mg/m³) = 4.58

[2]
# U2H2SeS, optimized geometry, DFT GGA-PBE
data_U2H2SeS
_chemical_formula_sum 'U2 H2 Se1 S1'
_cell_length_a 3.8130
_cell_length_b 3.8130
_cell_length_c 7.4942
_cell_angle_alpha 90.00
_cell_angle_beta 90.00
_cell_angle_gamma 120.00
_space_group_name_H-M_alt 'P -3 m 1'
_space_group_IT_number 164
_space_group_name_Hall '-P 3 2"'
loop_
_atom_site_label
_atom_site_type_symbol
_atom_site_fract_x
_atom_site_fract_y
_atom_site_fract_z
_atom_site_occupancy
U1 U 0.3333 0.6667 0.2347 1
H1 H 0.3333 0.6667 0.7552 1
Se1 Se 0.0000 0.0000 0.5000 1
S1 S 0.0000 0.0000 0.0000 1
# - calculated volume (Å³ per atom) = 15.73
# - raw total energy (eV/cell) = -42.6
# - total magnetic moment (μB/cell) = 5.3
# - ρ (Mg/m³) = 10.37

[3]
# PdPt3Pb, optimized geometry, DFT GGA-PBE
data_PdPt3Pb
_chemical_formula_sum 'Pd1 Pt3 Pb1'
_cell_length_a 5.028
_cell_length_b 5.028
_cell_length_c 5.028
_cell_angle_alpha 90.00
_cell_angle_beta 90.00
_cell_angle_gamma 90.00
_space_group_name_H-M_alt 'P m -3 m'
_space_group_IT_number 221
_space_group_name_Hall '-P 4 2 3'
loop_
_atom_site_label
_atom_site_type_symbol
_atom_site_fract_x
_atom_site_fract_y
_atom_site_fract_z
_atom_site_occupancy
Pd1 Pd 0.000 0.000 0.000 1
Pt1 Pt 0.000 0.500 0.500 1
Pb1 Pb 0.500 0.500 0.500 1
# - formation energy from the elements (eV/atom) = 1.41
# - calculated volume (Å³ per atom) = 25.42
# - total magnetic moment (μB/cell) = 0.0
# - polymorph energy (0 for the lowest one) (meV/atom) = 1503
# - ρ (Mg/m³) = 11.74

[4]
# ScPaNi, optimized geometry, DFT GGA-PBE
data_ScPaNi
_chemical_formula_sum 'Sc2 Pa2 Ni2'
_cell_length_a 3.168
_cell_length_b 3.168
_cell_length_c 11.967
_cell_angle_alpha 90.00
_cell_angle_beta 90.00
_cell_angle_gamma 90.00
_space_group_name_H-M_alt 'I 4 m m'
_space_group_IT_number 107
_space_group_name_Hall 'I 4 -2'
loop_
_atom_site_label
_atom_site_type_symbol
_atom_site_fract_x
_atom_site_fract_y
_atom_site_fract_z
_atom_site_occupancy
Sc1 Sc 0.000 0.000 0.000 1
Pa1 Pa 0.000 0.000 0.716 1
Ni1 Ni 0.000 0.000 0.363 1
# - formation energy from the elements (eV/atom) = -0.15
# - calculated volume (Å³ per atom) = 20.02
# - total magnetic moment (μB/cell) = 0.0
# - polymorph energy (0 for the lowest one) (meV/atom) = 89
# - ρ (Mg/m³) = 9.25